HfNpTiIn after structural relaxation, computed with PBE-GGA.

Unit cell a=6.976 b=6.976 c=6.976 alpha=90.00 beta=90.00 gamma=90.00
Space group F-43m (No. 216)
Unique sites:
Hf (0.000, 0.000, 0.000) (multiplicity 4)
Np (0.250, 0.250, 0.250) (multiplicity 4)
Ti (0.000, 0.000, 0.500) (multiplicity 4)
In (0.250, 0.250, 0.750) (multiplicity 4)

Computed properties:
Magnetization, μB/f.u.: 5.46
Total DFT energy (no corrections), eV for the cell shown: -130.23
E_form, meV/atom: 242